1.
A geometry-optimized VGa2Ag2O6 structure, computed with PBE with a Hubbard U.

Output
**Energy**: -5.76 eV per atom
**M_tot**: 0.999 μB/f.u.

```
data_VGa2Ag2O6
_cell_length_a 5.260
_cell_length_b 8.827
_cell_length_c 6.429
_cell_angle_alpha 90.00
_cell_angle_beta 111.92
_cell_angle_gamma 90.00
_symmetry_space_group_name_H-M 'C 1 2/m 1'
_symmetry_Int_Tables_number 12
loop_
_symmetry_equiv_pos_as_xyz
'x,y,z'
'-x,-y,-z'
'-x,y,-z'
'x,-y,z'
'x+1/2,y+1/2,z'
'-x+1/2,-y+1/2,-z'
'-x+1/2,y+1/2,-z'
'x+1/2,-y+1/2,z'
loop_
_atom_site_label
_atom_site_fract_x
_atom_site_fract_y
_atom_site_fract_z
V1 0.000 0.000 0.000
Ga1 0.000 0.333 0.000
Ag1 0.000 0.319 0.500
O1 0.087 0.164 0.828
O2 0.094 0.500 0.826
```

---

2.
A geometry-optimized VGa2AgO structure, computed with PBE with a Hubbard U.

Output
**Energy**: -3.73 eV per atom
**M_tot**: 0.000 μB/f.u.

```
data_VGa2AgO
_cell_length_a 4.311
_cell_length_b 4.311
_cell_length_c 4.242
_cell_angle_alpha 90.00
_cell_angle_beta 90.00
_cell_angle_gamma 90.00
_symmetry_space_group_name_H-M 'P 4/m m m'
_symmetry_Int_Tables_number 123
_symmetry_space_group_name_Hall '-P 4 2'
loop_
_atom_site_label
_atom_site_fract_x
_atom_site_fract_y
_atom_site_fract_z
V1 0.000 0.000 0.000
Ga1 0.000 0.500 0.500
Ag1 0.500 0.500 0.000
O1 0.500 0.500 0.500
```

---

3.
A geometry-optimized VGaAg2O5 structure, computed with PBE with a Hubbard U.

Output
**Energy**: -5.71 eV per atom
**M_tot**: 0.000 μB/f.u.

```
data_VGaAg2O5
_cell_length_a 3.387
_cell_length_b 13.983
_cell_length_c 10.362
_cell_angle_alpha 90.00
_cell_angle_beta 90.00
_cell_angle_gamma 90.00
_symmetry_space_group_name_H-M 'C m c 21'
_symmetry_Int_Tables_number 36
loop_
_symmetry_equiv_pos_as_xyz
'x,y,z'
'-x,-y,z+1/2'
'-x,y,z'
'x,-y,z+1/2'
'x+1/2,y+1/2,z'
'-x+1/2,-y+1/2,z+1/2'
'-x+1/2,y+1/2,z'
'x+1/2,-y+1/2,z+1/2'
loop_
_atom_site_label
_atom_site_fract_x
_atom_site_fract_y
_atom_site_fract_z
V1 0.000 0.126 0.000
Ga1 0.000 0.232 0.704
Ag1 0.000 0.392 0.962
Ag2 0.000 0.479 0.232
O1 0.000 0.026 0.900
O2 0.000 0.115 0.626
O3 0.000 0.209 0.174
O4 0.000 0.222 0.892
O5 0.000 0.395 0.564
```

---

4.
A geometry-optimized VGa2AgO6 structure, computed with PBE with a Hubbard U.

Output
**Energy**: -6.14 eV per atom
**M_tot**: 0.000 μB/f.u.

```
data_VGa2AgO6
_cell_length_a 9.258
_cell_length_b 11.862
_cell_length_c 5.770
_cell_angle_alpha 90.00
_cell_angle_beta 115.39
_cell_angle_gamma 90.00
_symmetry_space_group_name_H-M 'C 1 2/c 1'
_symmetry_Int_Tables_number 15
loop_
_symmetry_equiv_pos_as_xyz
'x,y,z'
'-x,-y,-z'
'-x,y,-z+1/2'
'x,-y,z+1/2'
'x+1/2,y+1/2,z'
'-x+1/2,-y+1/2,-z'
'-x+1/2,y+1/2,-z+1/2'
'x+1/2,-y+1/2,z+1/2'
loop_
_atom_site_label
_atom_site_fract_x
_atom_site_fract_y
_atom_site_fract_z
V1 0.000 0.196 0.250
Ga1 0.132 0.425 0.667
Ag1 0.000 0.089 0.750
O1 0.096 0.278 0.518
O2 0.121 0.444 0.981
O3 0.134 0.105 0.191
```